(1)
# SrIr2Pt2 SCAN single point on PBEsol structure
data_SrIr2Pt2
_chemical_formula_sum 'Sr2 Ir4 Pt4'
_space_group_name_H-M_alt 'I 4/m m m'
_space_group_IT_number 139
_space_group_name_Hall '-I 4 2'
_cell_length_a 4.289
_cell_length_b 4.289
_cell_length_c 10.486
_cell_angle_alpha 90.00
_cell_angle_beta 90.00
_cell_angle_gamma 90.00
loop_
_atom_site_label
_atom_site_type_symbol
_atom_site_fract_x
_atom_site_fract_y
_atom_site_fract_z
_atom_site_occupancy
Sr1 Sr 0.000 0.000 0.000 1
Ir1 Ir 0.000 0.000 0.390 1
Pt1 Pt 0.000 0.500 0.250 1
# **Crystal system**: tetragonal
# **ΔH_f (0 K)**: -0.182 eV/atom


(2)
# IrCF2 SCAN single point on PBEsol structure
data_IrCF2
_chemical_formula_sum 'Ir4 C4 F8'
_space_group_name_H-M_alt 'F m -3 m'
_space_group_IT_number 225
_space_group_name_Hall '-F 4 2 3'
_cell_length_a 5.475
_cell_length_b 5.475
_cell_length_c 5.475
_cell_angle_alpha 90.00
_cell_angle_beta 90.00
_cell_angle_gamma 90.00
loop_
_atom_site_label
_atom_site_type_symbol
_atom_site_fract_x
_atom_site_fract_y
_atom_site_fract_z
_atom_site_occupancy
Ir1 Ir 0.000 0.000 0.000 1
C1 C 0.000 0.000 0.500 1
F1 F 0.250 0.250 0.250 1
# **Crystal system**: cubic
# **Total DFT energy (no corrections)**: -20.56 eV per atom


(3)
# LiP2Br SCAN single point on PBEsol structure
data_LiP2Br
_chemical_formula_sum 'Li1 P2 Br1'
_space_group_name_H-M_alt 'P 4 m m'
_space_group_IT_number 99
_space_group_name_Hall 'P 4 -2'
_cell_length_a 3.354
_cell_length_b 3.354
_cell_length_c 6.449
_cell_angle_alpha 90.00
_cell_angle_beta 90.00
_cell_angle_gamma 90.00
loop_
_atom_site_label
_atom_site_type_symbol
_atom_site_fract_x
_atom_site_fract_y
_atom_site_fract_z
_atom_site_occupancy
Li1 Li 0.000 0.000 0.000 1
P1 P 0.000 0.000 0.401 1
P2 P 0.500 0.500 0.425 1
Br1 Br 0.500 0.500 0.884 1
# **Crystal system**: tetragonal
# **Polymorph energy (0 for the lowest one)**: 0.0000 eV/atom


(4)
# CoCuTc2 SCAN single point on PBEsol structure
data_CoCuTc2
_chemical_formula_sum 'Co1 Cu1 Tc2'
_space_group_name_H-M_alt 'P 4/m m m'
_space_group_IT_number 123
_space_group_name_Hall '-P 4 2'
_cell_length_a 4.400
_cell_length_b 4.400
_cell_length_c 2.568
_cell_angle_alpha 90.00
_cell_angle_beta 90.00
_cell_angle_gamma 90.00
loop_
_atom_site_label
_atom_site_type_symbol
_atom_site_fract_x
_atom_site_fract_y
_atom_site_fract_z
_atom_site_occupancy
Co1 Co 0.000 0.000 0.000 1
Cu1 Cu 0.500 0.500 0.000 1
Tc1 Tc 0.000 0.500 0.500 1
# **Crystal system**: tetragonal
# **Polymorph energy (0 for the lowest one)**: 0.1334 eV/atom
# **ΔH_f (0 K)**: 0.302 eV/atom


(5)
# RuRhSe SCAN single point on PBEsol structure
data_RuRhSe
_chemical_formula_sum 'Ru1 Rh1 Se1'
_space_group_name_H-M_alt 'P 3 m 1'
_space_group_IT_number 156
_space_group_name_Hall 'P 3 -2"'
_cell_length_a 3.9920
_cell_length_b 3.9920
_cell_length_c 3.1886
_cell_angle_alpha 90.00
_cell_angle_beta 90.00
_cell_angle_gamma 120.00
loop_
_atom_site_label
_atom_site_type_symbol
_atom_site_fract_x
_atom_site_fract_y
_atom_site_fract_z
_atom_site_occupancy
Ru1 Ru 0.0000 0.0000 0.0000 1
Rh1 Rh 0.6667 0.3333 0.4805 1
Se1 Se 0.3333 0.6667 0.7964 1
# **Crystal system**: trigonal
# **Polymorph energy (0 for the lowest one)**: 0.0000 eV/atom


(6)
# MgZr2Zn SCAN single point on PBEsol structure
data_MgZr2Zn
_chemical_formula_sum 'Mg2 Zr4 Zn2'
_space_group_name_H-M_alt 'C m m m'
_space_group_IT_number 65
_space_group_name_Hall '-C 2 2'
_cell_length_a 5.985
_cell_length_b 8.176
_cell_length_c 3.175
_cell_angle_alpha 90.00
_cell_angle_beta 90.00
_cell_angle_gamma 90.00
loop_
_atom_site_label
_atom_site_type_symbol
_atom_site_fract_x
_atom_site_fract_y
_atom_site_fract_z
_atom_site_occupancy
Mg1 Mg 0.000 0.000 0.000 1
Zr1 Zr 0.250 0.250 0.500 1
Zn1 Zn 0.000 0.500 0.000 1
# **Crystal system**: orthorhombic
# **Polymorph energy (0 for the lowest one)**: 0.0569 eV/atom
# **ΔH_f (0 K)**: -0.088 eV/atom


(7)
# SrTlNiSn2 SCAN single point on PBEsol structure
data_SrTlNiSn2
_chemical_formula_sum 'Sr1 Tl1 Ni1 Sn2'
_space_group_name_H-M_alt 'P 4/m m m'
_space_group_IT_number 123
_space_group_name_Hall '-P 4 2'
_cell_length_a 5.030
_cell_length_b 5.030
_cell_length_c 5.083
_cell_angle_alpha 90.00
_cell_angle_beta 90.00
_cell_angle_gamma 90.00
loop_
_atom_site_label
_atom_site_type_symbol
_atom_site_fract_x
_atom_site_fract_y
_atom_site_fract_z
_atom_site_occupancy
Sr1 Sr 0.000 0.000 0.000 1
Tl1 Tl 0.500 0.500 0.000 1
Ni1 Ni 0.500 0.500 0.500 1
Sn1 Sn 0.000 0.500 0.500 1
# **Crystal system**: tetragonal
# **ΔH_f (0 K)**: -0.206 eV/atom


(8)
# CrTeN2F SCAN single point on PBEsol structure
data_CrTeN2F
_chemical_formula_sum 'Cr1 Te1 N2 F1'
_space_group_name_H-M_alt 'P 4/m m m'
_space_group_IT_number 123
_space_group_name_Hall '-P 4 2'
_cell_length_a 3.911
_cell_length_b 3.911
_cell_length_c 3.761
_cell_angle_alpha 90.00
_cell_angle_beta 90.00
_cell_angle_gamma 90.00
loop_
_atom_site_label
_atom_site_type_symbol
_atom_site_fract_x
_atom_site_fract_y
_atom_site_fract_z
_atom_site_occupancy
Cr1 Cr 0.000 0.000 0.000 1
Te1 Te 0.500 0.500 0.500 1
N1 N 0.000 0.500 0.000 1
F1 F 0.000 0.000 0.500 1
# **Crystal system**: tetragonal
# **Total DFT energy (no corrections)**: -15.69 eV per atom


Number 1: V 96.5 Å³/f.u., total moment 0.000 μB per formula unit. Number 2: V 41.0 Å³/f.u., total moment 1.159 μB per formula unit. Number 3: V 72.5 Å³/f.u., total moment 0.000 μB per formula unit. Number 4: V 49.7 Å³/f.u., total moment 1.851 μB per formula unit. Number 5: V 44.0 Å³/f.u., total moment 0.000 μB per formula unit. Number 6: V 77.7 Å³/f.u., total moment 0.044 μB per formula unit. Number 7: V 128.6 Å³/f.u., total moment 0.000 μB per formula unit. Number 8: V 57.5 Å³/f.u., total moment 2.242 μB per formula unit.